A geometry-optimized NiAuSCl2 structure, computed with GGA-PBE.

Cell: 4.4933 4.4933 4.7692 Å, 90.00 90.00 90.00°
With the nearest neighbours (Å) after each atom.
Positions (direct):
Ni  0.0000  0.0000  0.0000  4 Cl 2.25, 2 S 2.38
Au  0.5000  0.5000  0.5000  4 S 3.18, 8 Cl 3.28
S  0.0000  0.0000  0.5000  2 Ni 2.38
Cl  0.0000  0.5000  0.0000  2 Ni 2.25
Cl  0.5000  0.0000  0.0000  2 Ni 2.25

Results
Distance to the lowest polymorph of the same formula ... 0.0 kJ per mole of atoms
Formation energy without anion corrections ... 266 meV per atom
Magnetization ... 0.000 μB per cell
E ... -3.110 eV/atom